[1]
TaP2 after structural relaxation. Source: the Alexandria database, functional PBE-GGA.

abc: 6.7467 6.7467 4.7690
angles: 69.31 69.31 28.87
Sites, in units of the cell vectors:
Ta: 0.0142 0.0142 0.0970
Ta: 0.2635 0.2635 0.8475
P: 0.9236 0.9236 0.6876
P: 0.6389 0.6389 0.2410
P: 0.3541 0.3541 0.2568
P: 0.6389 0.6389 0.7034

* N(E_F): 1.05 states/eV per cell
* mass density: 8.3 g/cm3
* calculated formation energy: -600 meV per atom



[2]
Ta5P after structural relaxation. Source: the Alexandria database, functional PBE-GGA.

abc: 5.4099 5.4099 5.4099
angles: 60.00 60.00 60.00
Sites, in units of the cell vectors:
Ta: 0.6244 0.6244 0.6244
Ta: 0.6244 0.1269 0.6244
Ta: 0.2500 0.2500 0.2500
Ta: 0.6244 0.6244 0.1269
Ta: 0.1269 0.6244 0.6244
P: 0.0000 0.0000 0.0000

* N(E_F): 8.13 states/eV per cell
* mass density: 13.9 g/cm3
* calculated formation energy: 534 meV per atom
* polymorph energy (0 for the lowest one): 700 meV per atom



[3]
Ta3P after structural relaxation. Source: the Alexandria database, functional PBE-GGA.

abc: 5.5912 5.5912 4.3174
angles: 90.00 90.00 93.72
Sites, in units of the cell vectors:
Ta: 0.8377 0.6064 0.2500
Ta: 0.3936 0.1623 0.2500
Ta: 0.1229 0.8771 0.7500
Ta: 0.6064 0.8377 0.7500
Ta: 0.8771 0.1229 0.2500
Ta: 0.1623 0.3936 0.7500
P: 0.3262 0.6738 0.2500
P: 0.6738 0.3262 0.7500

* N(E_F): 5.32 states/eV per cell
* mass density: 14.1 g/cm3
* calculated formation energy: -173 meV per atom



[4]
Ta3P after structural relaxation. Source: the Alexandria database, functional PBE-GGA.

abc: 5.0324 5.0324 5.0324
angles: 141.12 118.55 75.15
Sites, in units of the cell vectors:
Ta: 0.5869 0.5000 0.0869
Ta: 0.9333 0.2880 0.6453
Ta: 0.3573 0.7120 0.6453
P: 0.9559 0.0000 0.9559

* N(E_F): 1.25 states/eV per cell
* mass density: 13.9 g/cm3
* calculated formation energy: -332 meV per atom



Q: The lowest N(E_F) belongs to which entry?
A: TaP2



Q: What is the N(E_F) in the third record?
A: 5.32 states/eV per cell



Q: Which of these has the highest mass density?
A: number 3



What did the first record say?
TaP2 after structural relaxation. Source: the Alexandria database, functional PBE-GGA.

abc: 6.7467 6.7467 4.7690
angles: 69.31 69.31 28.87
Sites, in units of the cell vectors:
Ta: 0.0142 0.0142 0.0970
Ta: 0.2635 0.2635 0.8475
P: 0.9236 0.9236 0.6876
P: 0.6389 0.6389 0.2410
P: 0.3541 0.3541 0.2568
P: 0.6389 0.6389 0.7034

* N(E_F): 1.05 states/eV per cell
* mass density: 8.3 g/cm3
* calculated formation energy: -600 meV per atom